1.
# Hf3ScPb2C2, relaxed, DFT GGA-PBE
# total energy	-8.400	eV per atom
# size of the total moment	0.000	μB per cell
data_Hf3ScPb2C2
_chemical_formula_sum 'Hf3 Sc1 Pb2 C2'
_cell_length_a 3.3792
_cell_length_b 3.3792
_cell_length_c 14.7970
_cell_angle_alpha 90.00
_cell_angle_beta 90.00
_cell_angle_gamma 120.00
_symmetry_space_group_name_H-M 'P 3 m 1'
_symmetry_Int_Tables_number 156
_symmetry_space_group_name_Hall 'P 3 -2"'
loop_
_atom_site_label
_atom_site_type_symbol
_atom_site_fract_x
_atom_site_fract_y
_atom_site_fract_z
Hf1 Hf 0.0000 0.0000 0.0000
Hf2 Hf 0.0000 0.0000 0.3384
Hf3 Hf 0.3333 0.6667 0.4997
Sc1 Sc 0.3333 0.6667 0.8383
Pb1 Pb 0.0000 0.0000 0.6686
Pb2 Pb 0.3333 0.6667 0.1691
C1 C 0.6667 0.3333 0.4191
C2 C 0.6667 0.3333 0.9221



2.
# Hf4PbC2Se, relaxed, DFT GGA-PBE
# total energy	-9.084	eV per atom
# size of the total moment	0.001	μB per cell
data_Hf4PbC2Se
_chemical_formula_sum 'Hf4 Pb1 C2 Se1'
_cell_length_a 3.4078
_cell_length_b 3.4078
_cell_length_c 13.5804
_cell_angle_alpha 90.00
_cell_angle_beta 90.00
_cell_angle_gamma 120.00
_symmetry_space_group_name_H-M 'P -6 m 2'
_symmetry_Int_Tables_number 187
_symmetry_space_group_name_Hall 'P -6 2'
loop_
_atom_site_label
_atom_site_type_symbol
_atom_site_fract_x
_atom_site_fract_y
_atom_site_fract_z
Hf1 Hf 0.0000 0.0000 0.1428
Hf2 Hf 0.6667 0.3333 0.3180
Pb1 Pb 0.0000 0.0000 0.5000
C1 C 0.3333 0.6667 0.2313
Se1 Se 0.6667 0.3333 0.0000



3.
# Hf4SiPbC2, relaxed, DFT GGA-PBE
# total energy	-9.130	eV per atom
# size of the total moment	0.002	μB per cell
data_Hf4SiPbC2
_chemical_formula_sum 'Hf4 Si1 Pb1 C2'
_cell_length_a 3.3227
_cell_length_b 3.3227
_cell_length_c 14.0696
_cell_angle_alpha 90.00
_cell_angle_beta 90.00
_cell_angle_gamma 120.00
_symmetry_space_group_name_H-M 'P -6 m 2'
_symmetry_Int_Tables_number 187
_symmetry_space_group_name_Hall 'P -6 2'
loop_
_atom_site_label
_atom_site_type_symbol
_atom_site_fract_x
_atom_site_fract_y
_atom_site_fract_z
Hf1 Hf 0.0000 0.0000 0.1463
Hf2 Hf 0.6667 0.3333 0.3227
Si1 Si 0.6667 0.3333 0.0000
Pb1 Pb 0.0000 0.0000 0.5000
C1 C 0.3333 0.6667 0.2367



4.
# Hf4SnPbC2, relaxed, DFT GGA-PBE
# total energy	-8.947	eV per atom
# size of the total moment	0.004	μB per cell
data_Hf4SnPbC2
_chemical_formula_sum 'Hf4 Sn1 Pb1 C2'
_cell_length_a 3.3561
_cell_length_b 3.3561
_cell_length_c 14.6221
_cell_angle_alpha 90.00
_cell_angle_beta 90.00
_cell_angle_gamma 120.00
_symmetry_space_group_name_H-M 'P -6 m 2'
_symmetry_Int_Tables_number 187
_symmetry_space_group_name_Hall 'P -6 2'
loop_
_atom_site_label
_atom_site_type_symbol
_atom_site_fract_x
_atom_site_fract_y
_atom_site_fract_z
Hf1 Hf 0.0000 0.0000 0.1643
Hf2 Hf 0.3333 0.6667 0.3299
Sn1 Sn 0.3333 0.6667 0.0000
Pb1 Pb 0.0000 0.0000 0.5000
C1 C 0.6667 0.3333 0.2479



5.
# Hf4Ta2Pb3C3, relaxed, DFT GGA-PBE
# total energy	-9.000	eV per atom
# size of the total moment	0.007	μB per cell
data_Hf4Ta2Pb3C3
_chemical_formula_sum 'Hf16 Ta8 Pb12 C12'
_cell_length_a 9.945
_cell_length_b 5.740
_cell_length_c 15.060
_cell_angle_alpha 90.00
_cell_angle_beta 102.72
_cell_angle_gamma 90.00
_symmetry_space_group_name_H-M 'C 1 2/c 1'
_symmetry_Int_Tables_number 15
_symmetry_space_group_name_Hall '-C 2yc'
loop_
_atom_site_label
_atom_site_type_symbol
_atom_site_fract_x
_atom_site_fract_y
_atom_site_fract_z
Hf1 Hf 0.111 0.079 0.084
Hf2 Hf 0.220 0.086 0.416
Ta1 Ta 0.060 0.414 0.922
Pb1 Pb 0.000 0.091 0.750
Pb2 Pb 0.163 0.421 0.249
C1 C 0.082 0.254 0.500
C2 C 0.250 0.250 0.000



6.
# Hf2Ta4Pb3C3, relaxed, DFT GGA-PBE
# total energy	-9.162	eV per atom
# size of the total moment	0.002	μB per cell
data_Hf2Ta4Pb3C3
_chemical_formula_sum 'Hf8 Ta16 Pb12 C12'
_cell_length_a 10.081
_cell_length_b 5.828
_cell_length_c 14.455
_cell_angle_alpha 90.00
_cell_angle_beta 103.42
_cell_angle_gamma 90.00
_symmetry_space_group_name_H-M 'C 1 2/c 1'
_symmetry_Int_Tables_number 15
_symmetry_space_group_name_Hall '-C 2yc'
loop_
_atom_site_label
_atom_site_type_symbol
_atom_site_fract_x
_atom_site_fract_y
_atom_site_fract_z
Hf1 Hf 0.054 0.082 0.415
Ta1 Ta 0.109 0.415 0.575
Ta2 Ta 0.226 0.418 0.925
Pb1 Pb 0.000 0.429 0.250
Pb2 Pb 0.173 0.088 0.750
C1 C 0.083 0.250 0.000
C2 C 0.250 0.250 0.500



Question: Look up the total energy of the second one.
Answer: -9.084 eV per atom



Question: Which value of total energy does entry 5 give?
Answer: -9.000 eV per atom



Question: Which of these has the highest total energy?
Answer: Hf3ScPb2C2